DFT (PBE) results for a relaxed structure of LiNpCoRh.

The structure belongs to space group F-43m (No. 216); the cell edges are 6.288, 6.288 and 6.288 Å and the angles 90.00°, 90.00° and 90.00°. The asymmetric unit holds Li at (0.000, 0.000, 0.000), Np at (0.000, 0.000, 0.500), Co at (0.250, 0.250, 0.250) and Rh at (0.250, 0.250, 0.750).

For the total energy, the calculation gives -118.159 eV/cell.

***

DFT (PBE) results for a relaxed structure of Li4Np3CoSe8.

The structure belongs to space group R-3m (No. 166, hexagonal axes); the cell edges are 7.9099, 7.9099 and 19.4605 Å and the angles 90.00°, 90.00° and 120.00°. The asymmetric unit holds Li at (0.0000, 0.0000, 0.0000), Li at (0.0000, 0.5000, 0.0000), Np at (0.0000, 0.5000, 0.5000), Co at (0.0000, 0.0000, 0.5000), Se at (0.0000, 0.0000, 0.2542) and Se at (0.0179, 0.5089, 0.2484).

For the total energy, the calculation gives -292.793 eV/cell. The formation energy without anion corrections comes out at -16.1 eV/f.u.